No. 1
VASP calculation (PBE-GGA) on a geometry-optimized Ti4Be3Re structure.

DFT formation energy (eV per atom): -0.21
Magnetization (μB per atom): 0.000
Total DFT energy (no corrections) (eV/atom): -7.113

Unit cell a=3.0683 b=3.0683 c=11.4901 alpha=90.00 beta=90.00 gamma=90.00
With the nearest neighbours (Å) after each atom.
Space group P4/mmm (No. 123)
Symmetry-distinct sites (fractional):
1 Ti 0.0000 0.0000 0.1223 x2  8 Be 2.59, 2 Ti 2.81-2.83
2 Ti 0.0000 0.0000 0.3684 x2  4 Be 2.59, 4 Re 2.64, 1 Ti 2.83
3 Be 0.5000 0.5000 0.0000 x1  8 Ti 2.59, 2 Be 2.82
4 Be 0.5000 0.5000 0.2451 x2  8 Ti 2.59, 1 Be 2.82
5 Re 0.5000 0.5000 0.5000 x1  8 Ti 2.64, 2 Be 2.93



No. 2
VASP calculation (PBE-GGA) on a geometry-optimized Ti2Be9Re structure.

DFT formation energy (eV per atom): -0.23
Magnetization (μB per atom): 0.070
Total DFT energy (no corrections) (eV/atom): -5.381

Unit cell a=4.3926 b=4.3926 c=20.8921 alpha=90.00 beta=90.00 gamma=120.00
With the nearest neighbours (Å) after each atom.
Space group R-3m (No. 166, hexagonal axes)
Symmetry-distinct sites (fractional):
1 Ti 0.0000 0.0000 0.1410 x6  12 Be 2.55-2.67, 3 Ti 2.75
2 Be 0.0000 0.0000 0.3338 x6  6 Be 2.09
3 Be 0.0000 0.0000 0.5000 x3  6 Be 2.23
4 Be 0.0030 0.5015 0.9206 x18  7 Be 2.09-2.23
5 Re 0.0000 0.0000 0.0000 x3  18 Be 2.54-2.75



No. 3
VASP calculation (PBE-GGA) on a geometry-optimized Ti3BeRe structure.

DFT formation energy (eV per atom): 0.97
Energy relative to the lowest polymorph listed for this composition (meV/atom): 406.1
Magnetization (μB per atom): 0.278
Total DFT energy (no corrections) (eV/atom): -7.002

Unit cell a=4.7305 b=4.7305 c=4.7305 alpha=90.00 beta=90.00 gamma=90.00
With the nearest neighbours (Å) after each atom.
Space group Pm-3m (No. 221)
Symmetry-distinct sites (fractional):
1 Ti 0.0000 0.0000 0.5000 x3  2 Re 2.37
2 Be 0.5000 0.5000 0.5000 x1  12 Ti 3.34
3 Re 0.0000 0.0000 0.0000 x1  6 Ti 2.37



No. 4
VASP calculation (PBE-GGA) on a geometry-optimized ZrTiBeRe structure.

DFT formation energy (eV per atom): -0.15
Magnetization (μB per atom): 0.000
Total DFT energy (no corrections) (eV/atom): -8.303

Unit cell a=6.3518 b=6.3518 c=6.3518 alpha=90.00 beta=90.00 gamma=90.00
With the nearest neighbours (Å) after each atom.
Space group F-43m (No. 216)
Symmetry-distinct sites (fractional):
1 Zr 0.0000 0.0000 0.0000 x4  4 Re 2.75, 4 Be 2.75
2 Ti 0.0000 0.0000 0.5000 x4  4 Re 2.75, 4 Be 2.75
3 Be 0.2500 0.2500 0.7500 x4  4 Zr 2.75, 4 Ti 2.75
4 Re 0.2500 0.2500 0.2500 x4  4 Zr 2.75, 4 Ti 2.75